Below is K2CaReCl after structural relaxation, with properties calculated at the PBE level.

## Properties
SG = P4/mmm, No. 123
size of the total moment = 2.1 μB/cell
energy above the lowest structure with this stoichiometry = 0 meV per atom
calculated total energy = -15.1 eV/f.u.
uncorrected formation energy = 15.9 kcal/mol of atoms
Fermi-level density of states = 5.03 states/eV/cell

a b c (Å): 6.388 5.411 6.388
angles (deg): 90.00 90.00 90.00
Site moments in Bohr magnetons follow the coordinates.
Atoms (fractional coordinates):
Cl1 0.500 0.500 0.500  -0.01
K1 0.500 0.000 0.000  0.02
K2 0.000 0.000 0.500  0.01
Re1 0.000 0.000 0.000  1.88
Ca1 0.000 0.500 0.000  -0.04